A relaxed structure of ZrCl. Source: Alexandria, functional PBE.

The total magnetization comes out at 8.698 Bohr magnetons per cell. The calculation puts the uncorrected formation energy at 0.101 eV per atom.

The space group is R-3m (No. 166, hexagonal axes) and the conventional cell measures 5.2677, 5.2677 and 12.7979 Å, with angles of 90.00, 90.00 and 120.00 degrees. The inequivalent atoms are Zr at (0.0000, 0.0000, 0.1829) and Cl at (0.0000, 0.0000, 0.3808).

---

A relaxed structure of Co6Ni8Os. Source: Alexandria, functional PBE.

The total magnetization comes out at 45.989 Bohr magnetons per cell. The value obtained for the formation energy is 175 kJ/mol of formula units.

The space group is R-3 (No. 148, hexagonal axes) and the conventional cell measures 6.2654, 6.2654 and 15.1355 Å, with angles of 90.00, 90.00 and 120.00 degrees. The inequivalent atoms are Co at (0.0121, 0.2417, 0.2080), Ni at (0.0000, 0.0000, 0.0798), Ni at (0.0523, 0.7968, 0.6347) and Os at (0.0000, 0.0000, 0.5000).

---

A relaxed structure of YCr3Au. Source: Alexandria, functional PBE.

The calculation puts the energy above the most stable polymorph in this dataset at 0.0000 eV/atom. The total magnetization comes out at 12.074 Bohr magnetons per cell. The value obtained for the formation energy is 484 kJ/mol of formula units.

The space group is Pm-3m (No. 221) and the conventional cell measures 4.9805, 4.9805 and 4.9805 Å, with angles of 90.00, 90.00 and 90.00 degrees. The inequivalent atoms are Y at (0.0000, 0.0000, 0.0000), Cr at (0.0000, 0.5000, 0.5000) and Au at (0.5000, 0.5000, 0.5000).

---

A relaxed structure of BaZnReC2. Source: Alexandria, functional PBE.

The total magnetization comes out at 2.159 Bohr magnetons per cell. The value obtained for the formation energy is 1181 kJ/mol of formula units.

The space group is P4/mmm (No. 123) and the conventional cell measures 4.3459, 4.3459 and 4.9138 Å, with angles of 90.00, 90.00 and 90.00 degrees. The inequivalent atoms are Ba at (0.0000, 0.0000, 0.0000), Zn at (0.5000, 0.5000, 0.5000), Re at (0.5000, 0.5000, 0.0000) and C at (0.0000, 0.5000, 0.5000).

---

A relaxed structure of Nd2YHo4. Source: Alexandria, functional PBE.

The calculation puts the energy above the most stable polymorph in this dataset at 0.0000 eV/atom. The total magnetization comes out at 0.000 Bohr magnetons per cell. The value obtained for the formation energy is 36 kJ/mol of formula units.

The space group is C2/m (No. 12) and the conventional cell measures 16.9310, 3.5533 and 8.7776 Å, with angles of 90.00, 120.08 and 90.00 degrees. The inequivalent atoms are Nd at (0.0702, 0.0000, 0.4322), Y at (0.0000, 0.0000, 0.0000), Ho at (0.1464, 0.5000, 0.8460) and Ho at (0.2046, 0.5000, 0.2928).